Model w:
## Pm4Pr (PBE-GGA)

Data for crystalline Pm4Pr at its relaxed geometry.

a = 3.6659 Å, b = 3.6659 Å, c = 25.9248 Å
α = 90.00°, β = 90.00°, γ = 90.00°
Atoms (fractional coordinates):
Pm 0.0000 0.0000 0.1010
Pm 0.0000 0.0000 0.2996
Pm 0.0000 0.0000 0.7004
Pm 0.0000 0.0000 0.8990
Pm 0.5000 0.5000 0.2004
Pm 0.5000 0.5000 0.3990
Pm 0.5000 0.5000 0.6010
Pm 0.5000 0.5000 0.7996
Pr 0.0000 0.0000 0.5000
Pr 0.5000 0.5000 0.0000

***

Model x:
## Pm4Pr (PBE-GGA)

Data for crystalline Pm4Pr at its relaxed geometry.

a = 3.6632 Å, b = 3.6632 Å, c = 44.8042 Å
α = 90.00°, β = 90.00°, γ = 120.00°
Atoms (fractional coordinates):
Pm 0.0000 0.0000 0.0994
Pm 0.0000 0.0000 0.3002
Pm 0.0000 0.0000 0.6998
Pm 0.0000 0.0000 0.9006
Pm 0.3333 0.6667 0.3665
Pm 0.3333 0.6667 0.5673
Pm 0.3333 0.6667 0.7661
Pm 0.3333 0.6667 0.9668
Pm 0.6667 0.3333 0.0332
Pm 0.6667 0.3333 0.2339
Pm 0.6667 0.3333 0.4327
Pm 0.6667 0.3333 0.6335
Pr 0.0000 0.0000 0.5000
Pr 0.3333 0.6667 0.1667
Pr 0.6667 0.3333 0.8333

***

Model y:
## Pm4Pr (PBE-GGA)

Data for crystalline Pm4Pr at its relaxed geometry.

a = 5.8167 Å, b = 5.8167 Å, c = 5.8167 Å
α = 90.00°, β = 90.00°, γ = 90.00°
Atoms (fractional coordinates):
Pm 0.0000 0.0000 0.0000
Pm 0.0000 0.5000 0.5000
Pm 0.5000 0.0000 0.5000
Pm 0.5000 0.5000 0.0000
Pr 0.5000 0.5000 0.5000

***

Q: Which of them is the most stable? A: model x.

***

Model w:
## Pm5Pr6 (PBE-GGA)

Data for crystalline Pm5Pr6 at its relaxed geometry.

a = 8.2868 Å, b = 8.2868 Å, c = 6.4602 Å
α = 101.08°, β = 101.08°, γ = 109.06°
Atoms (fractional coordinates):
Pm 0.0000 0.0000 0.0000
Pm 0.1279 0.8721 0.5000
Pm 0.2597 0.7403 0.0000
Pm 0.7403 0.2597 0.0000
Pm 0.8721 0.1279 0.5000
Pr 0.1856 0.4548 0.3365
Pr 0.3249 0.3249 0.8270
Pr 0.4548 0.1856 0.3365
Pr 0.5452 0.8144 0.6635
Pr 0.6751 0.6751 0.1730
Pr 0.8144 0.5452 0.6635

***

Model x:
## Pm5Pr6 (PBE-GGA)

Data for crystalline Pm5Pr6 at its relaxed geometry.

a = 9.5929 Å, b = 9.5929 Å, c = 5.7508 Å
α = 107.41°, β = 107.41°, γ = 115.74°
Atoms (fractional coordinates):
Pm 0.0000 0.0000 0.0000
Pm 0.1601 0.8399 0.5000
Pm 0.2989 0.7011 0.0000
Pm 0.7011 0.2989 0.0000
Pm 0.8399 0.1601 0.5000
Pr 0.1559 0.4318 0.2940
Pr 0.2932 0.2932 0.7933
Pr 0.4318 0.1559 0.2940
Pr 0.5682 0.8441 0.7060
Pr 0.7068 0.7068 0.2067
Pr 0.8441 0.5682 0.7060

***

Q: Which of them is the most stable? A: model x.

***

Model w:
## Pm4PrPt2 (PBE-GGA)

Data for crystalline Pm4PrPt2 at its relaxed geometry.

a = 6.7963 Å, b = 7.8106 Å, c = 9.0820 Å
α = 103.89°, β = 105.18°, γ = 107.42°
Atoms (fractional coordinates):
Pm 0.0000 0.0000 0.0000
Pm 0.0221 0.8740 0.3690
Pm 0.0599 0.3904 0.4158
Pm 0.3501 0.2837 0.7559
Pm 0.3887 0.8565 0.7658
Pm 0.4790 0.9245 0.1838
Pm 0.7383 0.6108 0.6366
Pm 0.9410 0.4906 0.0380
Pr 0.4793 0.4396 0.1953
Pr 0.7621 0.1202 0.6203
Pt 0.1104 0.5244 0.7869
Pt 0.3894 0.7301 0.4170
Pt 0.4082 0.2231 0.4243
Pt 0.6334 0.6770 0.9755

***

Model x:
## Pm4PrPt2 (PBE-GGA)

Data for crystalline Pm4PrPt2 at its relaxed geometry.

a = 7.9176 Å, b = 6.7079 Å, c = 8.2558 Å
α = 90.00°, β = 112.93°, γ = 90.00°
Atoms (fractional coordinates):
Pm 0.0139 0.2500 0.3840
Pm 0.2523 0.7500 0.3500
Pm 0.4080 0.0091 0.7653
Pm 0.4080 0.4909 0.7653
Pm 0.5920 0.5091 0.2347
Pm 0.5920 0.9909 0.2347
Pm 0.7477 0.2500 0.6500
Pm 0.9861 0.7500 0.6160
Pr 0.1470 0.2500 0.0228
Pr 0.8530 0.7500 0.9772
Pt 0.2531 0.7500 0.9931
Pt 0.3750 0.2500 0.4044
Pt 0.6250 0.7500 0.5956
Pt 0.7469 0.2500 0.0069

***

Q: Which of them is the most stable? A: model w.

***

Model w:
## PmPrPt (PBE-GGA)

Data for crystalline PmPrPt at its relaxed geometry.

a = 3.6260 Å, b = 6.9605 Å, c = 7.3484 Å
α = 75.46°, β = 89.96°, γ = 74.93°
Atoms (fractional coordinates):
Pm 0.1330 0.2330 0.0711
Pm 0.8670 0.7670 0.9289
Pr 0.1288 0.2457 0.5624
Pr 0.8712 0.7543 0.4376
Pt 0.4935 0.5117 0.2267
Pt 0.5065 0.4883 0.7733

***

Model x:
## PmPrPt (PBE-GGA)

Data for crystalline PmPrPt at its relaxed geometry.

a = 4.7258 Å, b = 4.7258 Å, c = 4.3760 Å
α = 90.00°, β = 90.00°, γ = 120.00°
Atoms (fractional coordinates):
Pm 0.0000 0.0000 0.0000
Pr 0.3333 0.6667 0.5354
Pt 0.6667 0.3333 0.2444

***

Model y:
## PmPrPt (PBE-GGA)

Data for crystalline PmPrPt at its relaxed geometry.

a = 7.1154 Å, b = 7.1154 Å, c = 7.1154 Å
α = 90.00°, β = 90.00°, γ = 90.00°
Atoms (fractional coordinates):
Pm 0.0000 0.0000 0.0000
Pm 0.0000 0.5000 0.5000
Pm 0.5000 0.0000 0.5000
Pm 0.5000 0.5000 0.0000
Pr 0.0000 0.0000 0.5000
Pr 0.0000 0.5000 0.0000
Pr 0.5000 0.0000 0.0000
Pr 0.5000 0.5000 0.5000
Pt 0.2500 0.2500 0.7500
Pt 0.2500 0.7500 0.2500
Pt 0.7500 0.2500 0.2500
Pt 0.7500 0.7500 0.7500

***

Model z:
## PmPrPt (PBE-GGA)

Data for crystalline PmPrPt at its relaxed geometry.

a = 7.6964 Å, b = 7.6964 Å, c = 9.6984 Å
α = 90.00°, β = 90.00°, γ = 120.00°
Atoms (fractional coordinates):
Pm 0.0012 0.5944 0.2500
Pm 0.4056 0.4068 0.2500
Pm 0.4068 0.4056 0.7500
Pm 0.5932 0.9988 0.2500
Pm 0.5944 0.0012 0.7500
Pm 0.9988 0.5932 0.7500
Pr 0.0000 0.2633 0.0000
Pr 0.0000 0.2633 0.5000
Pr 0.2633 0.0000 0.0000
Pr 0.2633 0.0000 0.5000
Pr 0.7367 0.7367 0.0000
Pr 0.7367 0.7367 0.5000
Pt 0.0000 0.0000 0.2500
Pt 0.0000 0.0000 0.7500
Pt 0.3333 0.6667 0.0027
Pt 0.3333 0.6667 0.4973
Pt 0.6667 0.3333 0.5027
Pt 0.6667 0.3333 0.9973

***

Q: Which of them is the most stable? A: model z.

***

Model w:
## Pm2PrPt2 (PBE-GGA)

Data for crystalline Pm2PrPt2 at its relaxed geometry.

a = 8.0159 Å, b = 8.0159 Å, c = 4.0187 Å
α = 90.00°, β = 90.00°, γ = 90.00°
Atoms (fractional coordinates):
Pm 0.1625 0.3375 0.0000
Pm 0.3375 0.8375 0.0000
Pm 0.6625 0.1625 0.0000
Pm 0.8375 0.6625 0.0000
Pr 0.0000 0.0000 0.5000
Pr 0.5000 0.5000 0.5000
Pt 0.1324 0.6324 0.5000
Pt 0.3676 0.1324 0.5000
Pt 0.6324 0.8676 0.5000
Pt 0.8676 0.3676 0.5000

***

Model x:
## Pm2PrPt2 (PBE-GGA)

Data for crystalline Pm2PrPt2 at its relaxed geometry.

a = 9.1844 Å, b = 9.1844 Å, c = 7.6510 Å
α = 90.00°, β = 90.00°, γ = 154.83°
Atoms (fractional coordinates):
Pm 0.0304 0.9696 0.5000
Pm 0.1868 0.8132 0.2238
Pm 0.8132 0.1868 0.7238
Pm 0.9696 0.0304 0.0000
Pr 0.3722 0.6278 0.3370
Pr 0.6278 0.3722 0.8370
Pt 0.1980 0.8020 0.6073
Pt 0.4482 0.5518 0.7077
Pt 0.5518 0.4482 0.2077
Pt 0.8020 0.1980 0.1073

***

Q: Which of them is the most stable? A: model w.

***

Model w:
## Pm2PrPt (PBE-GGA)

Data for crystalline Pm2PrPt at its relaxed geometry.

a = 4.0360 Å, b = 4.0360 Å, c = 27.9476 Å
α = 90.00°, β = 90.00°, γ = 120.00°
Atoms (fractional coordinates):
Pm 0.0000 0.0000 0.0000
Pm 0.0000 0.0000 0.2131
Pm 0.3333 0.6667 0.6667
Pm 0.3333 0.6667 0.8797
Pm 0.6667 0.3333 0.3333
Pm 0.6667 0.3333 0.5464
Pr 0.0000 0.0000 0.4414
Pr 0.3333 0.6667 0.1081
Pr 0.6667 0.3333 0.7747
Pt 0.0000 0.0000 0.6060
Pt 0.3333 0.6667 0.2727
Pt 0.6667 0.3333 0.9393

***

Model x:
## Pm2PrPt (PBE-GGA)

Data for crystalline Pm2PrPt at its relaxed geometry.

a = 3.9408 Å, b = 3.9408 Å, c = 29.0108 Å
α = 90.00°, β = 90.00°, γ = 120.00°
Atoms (fractional coordinates):
Pm 0.0000 0.0000 0.2275
Pm 0.0000 0.0000 0.7725
Pm 0.3333 0.6667 0.4391
Pm 0.3333 0.6667 0.8942
Pm 0.6667 0.3333 0.1058
Pm 0.6667 0.3333 0.5609
Pr 0.0000 0.0000 0.0000
Pr 0.3333 0.6667 0.6667
Pr 0.6667 0.3333 0.3333
Pt 0.0000 0.0000 0.5000
Pt 0.3333 0.6667 0.1667
Pt 0.6667 0.3333 0.8333

***

Q: Which of them is the most stable? A: model w.

***

Model w:
## Pm2PrPt (PBE-GGA)

Data for crystalline Pm2PrPt at its relaxed geometry.

a = 3.9283 Å, b = 12.3010 Å, c = 9.8922 Å
α = 90.00°, β = 90.00°, γ = 90.00°
Atoms (fractional coordinates):
Pm 0.0000 0.1383 0.0635
Pm 0.0000 0.1383 0.4365
Pm 0.0000 0.8617 0.5635
Pm 0.0000 0.8617 0.9365
Pm 0.5000 0.3617 0.5635
Pm 0.5000 0.3617 0.9365
Pm 0.5000 0.6383 0.0635
Pm 0.5000 0.6383 0.4365
Pr 0.0000 0.4255 0.2500
Pr 0.0000 0.5745 0.7500
Pr 0.5000 0.0745 0.7500
Pr 0.5000 0.9255 0.2500
Pt 0.0000 0.2684 0.7500
Pt 0.0000 0.7316 0.2500
Pt 0.5000 0.2316 0.2500
Pt 0.5000 0.7684 0.7500

***

Model x:
## Pm2PrPt (PBE-GGA)

Data for crystalline Pm2PrPt at its relaxed geometry.

a = 3.6467 Å, b = 3.6467 Å, c = 8.9509 Å
α = 90.00°, β = 90.00°, γ = 90.00°
Atoms (fractional coordinates):
Pm 0.0000 0.0000 0.1881
Pm 0.0000 0.0000 0.8119
Pr 0.5000 0.5000 0.5000
Pt 0.5000 0.5000 0.0000

***

Model y:
## Pm2PrPt (PBE-GGA)

Data for crystalline Pm2PrPt at its relaxed geometry.

a = 7.2616 Å, b = 9.9898 Å, c = 6.6780 Å
α = 90.00°, β = 90.00°, γ = 90.00°
Atoms (fractional coordinates):
Pm 0.1780 0.0621 0.1722
Pm 0.1780 0.4379 0.1722
Pm 0.3220 0.5621 0.6722
Pm 0.3220 0.9379 0.6722
Pm 0.6780 0.0621 0.3278
Pm 0.6780 0.4379 0.3278
Pm 0.8220 0.5621 0.8278
Pm 0.8220 0.9379 0.8278
Pr 0.0257 0.2500 0.6383
Pr 0.4743 0.7500 0.1383
Pr 0.5257 0.2500 0.8617
Pr 0.9743 0.7500 0.3617
Pt 0.1160 0.7500 0.9307
Pt 0.3840 0.2500 0.4307
Pt 0.6160 0.7500 0.5693
Pt 0.8840 0.2500 0.0693

***

Q: Which of them is the most stable? A: model y.

***

Model w:
## PmPr3Pt (PBE-GGA)

Data for crystalline PmPr3Pt at its relaxed geometry.

a = 6.5672 Å, b = 6.5672 Å, c = 14.2523 Å
α = 113.62°, β = 113.62°, γ = 34.57°
Atoms (fractional coordinates):
Pm 0.0000 0.0000 0.0000
Pm 0.1123 0.1123 0.2839
Pr 0.3184 0.3184 0.7625
Pr 0.3388 0.3388 0.1274
Pr 0.6533 0.6533 0.5246
Pr 0.6728 0.6728 0.8932
Pr 0.8781 0.8781 0.3657
Pr 0.9911 0.9911 0.6557
Pt 0.3312 0.3312 0.5010
Pt 0.6537 0.6537 0.1495

***

Model x:
## PmPr3Pt (PBE-GGA)

Data for crystalline PmPr3Pt at its relaxed geometry.

a = 7.6574 Å, b = 5.7040 Å, c = 7.6747 Å
α = 90.00°, β = 102.99°, γ = 90.00°
Atoms (fractional coordinates):
Pm 0.0000 0.0000 0.0000
Pm 0.3383 0.0000 0.5085
Pr 0.2291 0.5000 0.7756
Pr 0.2765 0.5000 0.2363
Pr 0.4631 0.0000 0.0501
Pr 0.6847 0.5000 0.6278
Pr 0.7352 0.5000 0.1073
Pr 0.8555 0.0000 0.4566
Pt 0.6616 0.0000 0.7642
Pt 0.9918 0.5000 0.4348

***

Q: Which of them is the most stable? A: model w.

***

Model w:
## Pm3Pr3Pt2 (PBE-GGA)

Data for crystalline Pm3Pr3Pt2 at its relaxed geometry.

a = 6.7360 Å, b = 6.7360 Å, c = 15.5780 Å
α = 90.00°, β = 90.00°, γ = 136.37°
Atoms (fractional coordinates):
Pm 0.1476 0.8524 0.7500
Pm 0.1490 0.8510 0.0217
Pm 0.1490 0.8510 0.4783
Pm 0.8510 0.1490 0.5217
Pm 0.8510 0.1490 0.9783
Pm 0.8524 0.1476 0.2500
Pr 0.1476 0.8524 0.2500
Pr 0.4591 0.5409 0.1186
Pr 0.4591 0.5409 0.3814
Pr 0.5409 0.4591 0.6186
Pr 0.5409 0.4591 0.8814
Pr 0.8524 0.1476 0.7500
Pt 0.3059 0.6941 0.6155
Pt 0.3059 0.6941 0.8845
Pt 0.6941 0.3059 0.1155
Pt 0.6941 0.3059 0.3845

***

Model x:
## Pm3Pr3Pt2 (PBE-GGA)

Data for crystalline Pm3Pr3Pt2 at its relaxed geometry.

a = 7.0428 Å, b = 7.0428 Å, c = 18.7460 Å
α = 90.00°, β = 90.00°, γ = 147.50°
Atoms (fractional coordinates):
Pm 0.0792 0.9208 0.7500
Pm 0.1668 0.8332 0.0543
Pm 0.1668 0.8332 0.4457
Pm 0.8332 0.1668 0.5543
Pm 0.8332 0.1668 0.9457
Pm 0.9208 0.0792 0.2500
Pr 0.1921 0.8079 0.2500
Pr 0.4455 0.5545 0.0936
Pr 0.4455 0.5545 0.4064
Pr 0.5545 0.4455 0.5936
Pr 0.5545 0.4455 0.9064
Pr 0.8079 0.1921 0.7500
Pt 0.2191 0.7809 0.6326
Pt 0.2191 0.7809 0.8674
Pt 0.7809 0.2191 0.1326
Pt 0.7809 0.2191 0.3674

***

Q: Which of them is the most stable? A: model w.